1.
Below is a relaxed Sr2YMoN4 crystal, with properties calculated at the PBE-GGA level.

Unit cell a=5.585 b=7.013 c=7.656 alpha=90.00 beta=90.00 gamma=90.00
Last column: magnetic moment on the atom in μB.
Atoms (fractional coordinates):
Sr1 0.466 0.339 0.247  0.05
Sr2 0.466 0.339 0.753  0.05
Sr3 0.966 0.661 0.747  0.05
Sr4 0.966 0.661 0.253  0.05
Y1 0.980 0.156 0.500  0.12
Y2 0.480 0.844 0.000  0.12
Mo1 0.503 0.849 0.500  0.14
Mo2 0.003 0.151 0.000  0.14
N1 0.336 0.136 0.000  0.00
N2 0.836 0.864 0.500  0.00
N3 0.388 0.106 0.500  -0.01
N4 0.888 0.894 0.000  -0.01
N5 0.431 0.717 0.712  0.01
N6 0.931 0.283 0.212  0.01
N7 0.931 0.283 0.788  0.01
N8 0.431 0.717 0.288  0.01

ΔE_f (raw)	-927	meV per atom

---

2.
Below is a relaxed ScCo3Ni crystal, with properties calculated at the PBE-GGA level.

Unit cell a=4.289 b=4.289 c=4.289 alpha=90.00 beta=90.00 gamma=90.00
Last column: magnetic moment on the atom in μB.
Atoms (fractional coordinates):
Sc1 0.500 0.500 0.500  -0.29
Ni1 0.000 0.000 0.000  0.94
Co1 0.000 0.500 0.000  1.67
Co2 0.000 0.000 0.500  2.07
Co3 0.500 0.000 0.000  1.30

energy of formation	0.604	eV/atom

---

3.
Below is a relaxed AlOs2I crystal, with properties calculated at the PBE-GGA level.

Unit cell a=4.209 b=4.209 c=8.885 alpha=76.30 beta=76.30 gamma=90.00
Atoms (fractional coordinates):
I1 0.000 0.000 0.000
I2 0.750 0.250 0.500
Os1 0.591 0.125 0.250
Os2 0.159 0.625 0.250
Os3 0.375 0.409 0.750
Os4 0.875 0.841 0.750
Al1 0.500 0.500 0.000
Al2 0.250 0.750 0.500

ΔE_f (raw)	1011	meV per atom

---

4.
Below is a relaxed La3HIr crystal, with properties calculated at the PBE-GGA level.

Unit cell a=3.990 b=7.540 c=8.966 alpha=73.95 beta=90.00 gamma=90.00
Atoms (fractional coordinates):
La1 0.863 0.425 0.761
La2 0.863 0.963 0.732
La3 0.864 0.592 0.075
La4 0.363 0.076 0.069
La5 0.864 0.796 0.418
La6 0.363 0.311 0.423
H1 0.364 0.694 0.246
H2 0.363 0.194 0.747
Ir1 0.363 0.694 0.746
Ir2 0.863 0.194 0.246

E	-5.85	eV per atom